This record from the Alexandria database describes a relaxed TmTl2AsS4 crystal. The functional is PBE.

Results
SG = No. 74
Uncorrected energy = -72.912 eV for the cell shown
Formation energy (no corrections) = -0.76 eV/atom

Cell: 8.2123 8.2123 8.1649 Å, 119.81 119.81 90.07°
Fractional coordinates of all 16 atoms:
1 S 0.7651 0.7350 0.5380
2 S 0.2350 0.2651 0.0380
3 S 0.7650 0.7349 0.9620
4 S 0.8032 0.2612 0.0322
5 S 0.2388 0.6968 0.4678
6 S 0.7612 0.3032 0.5322
7 S 0.2349 0.2650 0.4620
8 S 0.1968 0.7388 0.9678
9 Tl 0.0000 0.0000 0.5000
10 Tl 0.5000 0.0000 0.5000
11 Tl 0.5000 0.5000 0.0000
12 Tl 0.5000 0.0000 0.0000
13 As 0.5000 0.5000 0.5000
14 As 0.0000 0.0000 0.0000
15 Tm 0.0000 0.5000 0.0000
16 Tm 0.0000 0.5000 0.5000